No. 1
A plane-wave DFT calculation with PBE-GGA was carried out for an optimized crystal structure of MgTcSe2.

Cell: 8.544 8.544 8.544 Å, 22.69 22.69 22.69°
Fractional positions:
1 Mg 0.500 0.500 0.500
2 Tc 0.000 0.000 0.000
3 Se 0.905 0.905 0.905
4 Se 0.095 0.095 0.095

Computed properties:
Crystal system ... trigonal
Calculated total energy ... -0.3358 Ry/atom
Raw formation energy ... 164 meV per atom
Total magnetization ... 0.000 μB/atom
SG ... No. 166


No. 2
A plane-wave DFT calculation with PBE-GGA was carried out for an optimized crystal structure of MgTcSe2.

Cell: 3.983 3.983 6.302 Å, 74.71 74.71 51.58°
Fractional positions:
1 Mg 0.750 0.750 0.750
2 Se 0.001 0.001 0.027
3 Se 0.499 0.499 0.473
4 Tc 0.250 0.250 0.250

Computed properties:
Crystal system ... monoclinic
Calculated total energy ... -0.3697 Ry/atom
Raw formation energy ... -298 meV per atom
Total magnetization ... 0.000 μB/atom
SG ... No. 12


No. 3
A plane-wave DFT calculation with PBE-GGA was carried out for an optimized crystal structure of MgTcSe2.

Cell: 3.993 3.993 7.456 Å, 90.00 90.00 126.71°
Fractional positions:
1 Mg 0.500 0.500 0.750
2 Se 0.000 0.000 0.006
3 Se 0.000 0.000 0.494
4 Tc 0.500 0.500 0.250

Computed properties:
Crystal system ... orthorhombic
Calculated total energy ... -0.3437 Ry/atom
Raw formation energy ... 56 meV per atom
Total magnetization ... 0.788 μB/atom
SG ... No. 65


No. 4
A plane-wave DFT calculation with PBE-GGA was carried out for an optimized crystal structure of MgTc4Se.

Cell: 5.210 5.210 5.210 Å, 60.00 60.00 60.00°
Fractional positions:
1 Mg 0.750 0.750 0.750
2 Tc 0.878 0.374 0.374
3 Tc 0.374 0.374 0.878
4 Tc 0.374 0.878 0.374
5 Tc 0.374 0.374 0.374
6 Se 0.000 0.000 0.000

Computed properties:
Crystal system ... cubic
Calculated total energy ... -0.5374 Ry/atom
Raw formation energy ... 446 meV per atom
Total magnetization ... 0.000 μB/atom
SG ... No. 216


No. 5
A plane-wave DFT calculation with PBE-GGA was carried out for an optimized crystal structure of MgTcSe.

Cell: 6.933 6.641 3.043 Å, 82.45 71.75 25.80°
Fractional positions:
1 Mg 0.994 0.994 0.006
2 Se 0.682 0.682 0.318
3 Tc 0.325 0.325 0.675

Computed properties:
Crystal system ... orthorhombic
Calculated total energy ... -0.3600 Ry/atom
Raw formation energy ... 251 meV per atom
Total magnetization ... 0.000 μB/atom
SG ... No. 42


No. 6
A plane-wave DFT calculation with PBE-GGA was carried out for an optimized crystal structure of MgTcSe.

Cell: 4.216 4.216 3.437 Å, 90.00 90.00 120.00°
Fractional positions:
1 Mg 0.000 0.000 0.000
2 Se 0.667 0.333 0.500
3 Tc 0.333 0.667 0.500

Computed properties:
Crystal system ... hexagonal
Calculated total energy ... -0.3768 Ry/atom
Raw formation energy ... 22 meV per atom
Total magnetization ... 0.000 μB/atom
SG ... No. 187


No. 7
A plane-wave DFT calculation with PBE-GGA was carried out for an optimized crystal structure of MgTc3Se.

Cell: 4.570 4.570 4.570 Å, 90.00 90.00 90.00°
Fractional positions:
1 Mg 0.000 0.000 0.000
2 Tc 0.000 0.500 0.000
3 Tc 0.000 0.000 0.500
4 Tc 0.500 0.000 0.000
5 Se 0.500 0.500 0.500

Computed properties:
Crystal system ... cubic
Calculated total energy ... -0.3786 Ry/atom
Raw formation energy ... 2085 meV per atom
Total magnetization ... 0.605 μB/atom
SG ... No. 221


No. 8
A plane-wave DFT calculation with PBE-GGA was carried out for an optimized crystal structure of MgTcSe.

Cell: 5.716 5.716 5.716 Å, 147.73 147.73 46.29°
Fractional positions:
1 Mg 0.011 0.011 0.000
2 Se 0.299 0.299 0.000
3 Tc 0.689 0.689 0.000

Computed properties:
Crystal system ... tetragonal
Calculated total energy ... -0.3921 Ry/atom
Raw formation energy ... -186 meV per atom
Total magnetization ... 0.000 μB/atom
SG ... No. 107